Ce7Hg2Ru2 | GGA-PBE | optimized geometry

Output
DFT formation energy (eV/atom): -0.224
Mass density (g/cm3): 9.3

Lattice parameters (Å, degrees): 6.410 6.410 7.494 96.27 96.27 111.19
Fractional positions:
Ce (0.000, 0.000, 0.000)
Ce (0.141, 0.550, 0.863)
Ce (0.291, 0.291, 0.463)
Ce (0.450, 0.859, 0.137)
Ce (0.550, 0.141, 0.863)
Ce (0.709, 0.709, 0.537)
Ce (0.859, 0.450, 0.137)
Hg (0.217, 0.783, 0.500)
Hg (0.783, 0.217, 0.500)
Ru (0.338, 0.338, 0.144)
Ru (0.662, 0.662, 0.856)